Version w
The following is a DFT calculation (PBE-GGA) of NaTlHg2Au after structural relaxation.

Structure (POSCAR):
```
NaTlHg2Au
1.0
5.3856 0.0000 0.0000
0.0000 5.3856 0.0000
0.0000 0.0000 5.4477
Au Hg Tl Na
1 2 1 1
Cartesian
0.0000 0.0000 0.0000 Au
2.6928 0.0000 0.0000 Hg
0.0000 2.6928 0.0000 Hg
2.6928 2.6928 2.7238 Tl
0.0000 0.0000 2.7238 Na
```

Computed properties:
- total magnetization (μB per atom) = 0.000

Version x
The following is a DFT calculation (PBE-GGA) of NaTlHg2Au after structural relaxation.

Structure (POSCAR):
```
NaTlHg2Au
1.0
-0.7684 5.2957 -0.8658
-4.6986 -1.0864 -2.4753
-2.6932 0.4153 4.9300
Hg Tl Na Au
2 1 1 1
Cartesian
-0.3842 2.6478 -0.4329 Hg
-2.3493 -0.5432 -1.2376 Hg
-1.3466 0.2076 2.4650 Tl
-4.0801 2.3123 0.7945 Na
0.0000 0.0000 0.0000 Au
```

Computed properties:
- total magnetization (μB per atom) = 0.000

Name the most stable of them. version w.

Version w
The following is a DFT calculation (PBE-GGA) of NbHgAu3 after structural relaxation.

Structure (POSCAR):
```
NbHgAu3
1.0
5.1992 0.0000 0.0000
0.0000 5.1992 0.0000
0.0000 0.0000 5.1992
Au Nb Hg
3 1 1
Cartesian
0.0000 2.5996 0.0000 Au
0.0000 0.0000 2.5996 Au
2.5996 0.0000 0.0000 Au
0.0000 0.0000 0.0000 Nb
2.5996 2.5996 2.5996 Hg
```

Computed properties:
- total magnetization (μB per atom) = 0.000

Version x
The following is a DFT calculation (PBE-GGA) of NbHgAu3 after structural relaxation.

Structure (POSCAR):
```
NbHgAu3
1.0
-3.4579 -3.5608 1.2378
3.7698 -3.2648 1.1393
-0.0031 1.6823 4.8310
Nb Au Hg
1 3 1
Cartesian
0.1545 -2.5717 3.6040 Nb
1.8849 -1.6324 0.5696 Au
-1.7289 -1.7804 0.6189 Au
-0.0015 0.8411 2.4155 Au
0.0000 0.0000 0.0000 Hg
```

Computed properties:
- total magnetization (μB per atom) = 0.678

Name the most stable of them. version w.

Version w
The following is a DFT calculation (PBE-GGA) of Nb2HgAu2 after structural relaxation.

Structure (POSCAR):
```
Nb2HgAu2
1.0
7.9417 0.0000 0.0000
0.0000 7.9417 0.0000
0.0000 0.0000 3.0643
Nb Hg Au
4 2 4
Cartesian
5.3343 6.5782 1.5321 Nb
6.5782 2.6074 1.5321 Nb
2.6074 1.3635 1.5321 Nb
1.3635 5.3343 1.5321 Nb
0.0000 0.0000 0.0000 Hg
3.9709 3.9709 0.0000 Hg
2.9808 6.9516 0.0000 Au
0.9901 2.9808 0.0000 Au
6.9516 4.9609 0.0000 Au
4.9609 0.9901 0.0000 Au
```

Computed properties:
- total magnetization (μB per atom) = 0.000

Version x
The following is a DFT calculation (PBE-GGA) of Nb2HgAu2 after structural relaxation.

Structure (POSCAR):
```
Nb2HgAu2
1.0
-6.9705 -2.2387 -3.7556
4.3719 -3.4856 -6.0367
0.0184 -2.5368 1.4781
Au Hg Nb
4 2 4
Cartesian
-1.0233 -5.6624 -6.7895 Au
-1.5569 -2.5987 -1.5247 Au
1.7555 -3.9798 -3.9362 Au
-4.3357 -4.2814 -4.3780 Au
-1.2993 -2.8622 -4.8961 Hg
0.0000 0.0000 0.0000 Hg
0.7970 -1.5901 -2.7390 Nb
-3.8035 -1.8203 -3.0769 Nb
-3.3956 -4.1342 -7.0533 Nb
1.2049 -3.9040 -6.7154 Nb
```

Computed properties:
- total magnetization (μB per atom) = 0.000

Name the most stable of them. version w.

Version w
The following is a DFT calculation (PBE-GGA) of Nb2HgAuS after structural relaxation.

Structure (POSCAR):
```
Nb2HgAuS
1.0
-2.8379 2.2394 3.7167
-3.0628 -3.6075 -0.1649
2.7536 -2.5028 3.6106
Nb S Au Hg
2 1 1 1
Cartesian
-1.4189 1.1197 1.8583 Nb
1.3768 -1.2514 1.8053 Nb
-1.5314 -1.8038 -0.0825 S
-1.5735 -1.9354 3.5812 Au
0.0000 0.0000 0.0000 Hg
```

Computed properties:
- total magnetization (μB per atom) = 0.000

Version x
The following is a DFT calculation (PBE-GGA) of Nb2HgAuS after structural relaxation.

Structure (POSCAR):
```
Nb2HgAuS
1.0
-3.7039 2.6905 -2.5527
0.4399 -3.0984 -3.9039
-3.6800 -3.1144 2.0571
Au Nb S Hg
1 2 1 1
Cartesian
0.2199 -1.5492 -1.9520 Au
-1.8520 1.3452 -1.2763 Nb
-1.8400 -1.5572 1.0286 Nb
-3.4720 -1.7612 -2.1997 S
0.0000 0.0000 0.0000 Hg
```

Computed properties:
- total magnetization (μB per atom) = 0.727

Name the most stable of them. version x.

Version w
The following is a DFT calculation (PBE-GGA) of Nd6Hg2Au after structural relaxation.

Structure (POSCAR):
```
Nd6Hg2Au
1.0
-3.4660 1.6571 -0.7312
-0.8843 -5.0723 -7.3036
-3.0592 -2.9260 7.8692
Nd Hg Au
6 2 1
Cartesian
-2.2633 -2.2136 -4.7460 Nd
-0.2289 -1.3128 -1.8902 Nd
-3.3113 -2.3727 -0.1392 Nd
-2.9231 -5.9287 0.4194 Nd
-4.4520 -5.9986 -2.9495 Nd
-1.6758 -5.8293 -5.2673 Nd
-1.6093 -4.3569 -2.2460 Hg
-2.3342 -3.6414 2.8116 Hg
-1.7330 0.8284 -0.3659 Au
```

Computed properties:
- total magnetization (μB per atom) = 0.000

Version x
The following is a DFT calculation (PBE-GGA) of Nd6Hg2Au after structural relaxation.

Structure (POSCAR):
```
Nd6Hg2Au
1.0
6.4270 0.0000 0.3042
0.0000 8.3221 0.0000
-0.4409 0.0000 10.5710
Nd Hg Au
12 4 2
Cartesian
2.2389 7.0482 0.6260 Nd
0.7541 2.8871 4.8116 Nd
1.9480 4.5829 7.8841 Nd
4.0380 3.7391 2.9911 Nd
3.7854 1.7512 6.0988 Nd
5.2320 5.4350 6.0637 Nd
0.7924 2.4098 0.6612 Nd
0.6041 0.4219 8.1245 Nd
5.3820 7.9002 2.7507 Nd
2.2007 6.5709 4.7764 Nd
5.1937 5.9123 10.2141 Nd
3.7471 1.2739 10.2492 Nd
0.4925 5.0820 2.4693 Hg
3.4856 7.4011 7.9069 Hg
5.4935 3.2400 8.4060 Hg
2.5005 0.9210 2.9683 Hg
-0.2204 0.0000 5.2855 Au
3.2135 4.1610 0.1521 Au
```

Computed properties:
- total magnetization (μB per atom) = 0.000

Name the most stable of them. version w.

Version w
The following is a DFT calculation (PBE-GGA) of Nd2HgAu3 after structural relaxation.

Structure (POSCAR):
```
Nd2HgAu3
1.0
-1.5889 -0.9731 -3.6628
-3.0601 -1.8614 1.8220
-2.5377 9.3994 0.9090
Au Nd Hg
3 2 1
Cartesian
-4.2935 1.8151 -0.9250 Au
-2.8618 -0.5351 -0.9216 Au
-4.4401 3.8466 0.9042 Au
-4.2900 5.2520 -1.8396 Nd
-1.2679 2.0815 -0.0030 Nd
-5.9368 6.3037 0.9007 Hg
```

Computed properties:
- total magnetization (μB per atom) = 0.000

Version x
The following is a DFT calculation (PBE-GGA) of Nd2HgAu3 after structural relaxation.

Structure (POSCAR):
```
Nd2HgAu3
1.0
-4.8121 3.5281 -0.6621
1.3620 -2.2805 -5.3840
-3.2794 -7.1670 4.5285
Au Nd Hg
6 4 2
Cartesian
-5.0720 -3.7522 -2.0162 Au
-5.7204 -4.0017 2.4385 Au
-4.1026 0.9928 -1.5901 Au
-2.6269 -6.9121 0.0726 Au
-1.6575 -2.1672 0.4986 Au
-1.0091 -1.9176 -3.9560 Au
-2.6015 0.9408 -4.5589 Nd
-1.8212 -4.4118 -1.9392 Nd
-0.8486 0.3069 -1.4871 Nd
-4.9083 -1.5075 0.4217 Nd
-3.3356 -4.3611 1.0034 Hg
-3.3940 -1.5582 -2.5210 Hg
```

Computed properties:
- total magnetization (μB per atom) = 0.000

Name the most stable of them. version x.

Version w
The following is a DFT calculation (PBE-GGA) of NdHg4Au after structural relaxation.

Structure (POSCAR):
```
NdHg4Au
1.0
4.8391 0.0000 -1.5128
0.0000 7.1347 0.0000
0.0646 0.0000 8.7024
Au Hg Nd
2 8 2
Cartesian
3.3025 5.0264 2.0677 Au
1.6012 1.4591 5.1219 Au
3.9436 2.9471 4.1186 Hg
2.5806 3.4688 -0.2412 Hg
3.1228 0.9287 1.4929 Hg
4.8640 1.7886 7.0625 Hg
2.3231 7.0361 7.4308 Hg
1.7809 4.4961 5.6967 Hg
0.9601 6.5145 3.0710 Hg
0.0397 5.3559 0.1271 Hg
0.8606 3.2019 2.7527 Nd
4.0431 6.7693 4.4368 Nd
```

Computed properties:
- total magnetization (μB per atom) = 0.000

Version x
The following is a DFT calculation (PBE-GGA) of NdHg4Au after structural relaxation.

Structure (POSCAR):
```
NdHg4Au
1.0
4.1470 0.0000 -1.7989
0.0000 9.1293 0.0000
-3.4162 0.0000 9.2018
Au Hg Nd
2 8 2
Cartesian
2.0735 0.0000 -0.8995 Au
2.0735 4.5647 -0.8995 Au
0.6721 6.8470 7.2892 Hg
2.9371 6.8470 1.1114 Hg
-2.2063 2.2823 6.2915 Hg
0.0587 2.2823 0.1136 Hg
0.8497 4.6380 1.9724 Hg
-0.1189 4.4914 5.4304 Hg
-0.1189 0.0733 5.4304 Hg
0.8497 9.0560 1.9724 Hg
-1.0729 2.2823 3.2063 Nd
1.8037 6.8470 4.1965 Nd
```

Computed properties:
- total magnetization (μB per atom) = 0.000

Name the most stable of them. version w.

Version w
The following is a DFT calculation (PBE-GGA) of Nd3HgAu4 after structural relaxation.

Structure (POSCAR):
```
Nd3HgAu4
1.0
-3.4538 -3.6809 -0.7155
2.2547 -0.7250 -7.1538
6.8513 -6.9860 2.8673
Au Nd Hg
8 6 2
Cartesian
2.2390 -9.0954 -0.3161 Au
3.4132 -2.2964 -4.6859 Au
3.3896 -9.4653 -3.9668 Au
3.4014 -5.8809 -4.3263 Au
-1.1748 -2.0179 -2.1094 Au
2.2625 -1.9265 -1.0352 Au
2.2508 -5.5109 -0.6757 Au
-0.0243 -2.3879 -5.7599 Au
1.1110 -3.9519 -3.2183 Nd
4.5412 -7.4399 -1.7837 Nd
3.4130 -7.0783 1.7930 Nd
0.0000 0.0000 0.0000 Nd
-0.0156 -3.5885 0.3588 Nd
3.4256 -3.4930 1.4336 Nd
1.1273 -0.3625 -3.5769 Hg
4.5530 -3.8555 -2.1432 Hg
```

Computed properties:
- total magnetization (μB per atom) = 0.000

Version x
The following is a DFT calculation (PBE-GGA) of Nd3HgAu4 after structural relaxation.

Structure (POSCAR):
```
Nd3HgAu4
1.0
4.0215 0.0000 0.0000
0.0000 7.2789 0.0000
-2.0108 -3.6395 7.3513
Au Nd Hg
4 3 1
Cartesian
2.0108 2.2125 1.9526 Au
0.0000 -1.4269 5.3987 Au
2.0108 5.0664 1.9526 Au
0.0000 1.4269 5.3987 Au
2.0108 3.6395 4.6280 Nd
0.0000 3.6395 0.0000 Nd
0.0000 0.0000 2.7233 Nd
2.0108 0.0000 0.0000 Hg
```

Computed properties:
- total magnetization (μB per atom) = 0.000

Name the most stable of them. version w.

Version w
The following is a DFT calculation (PBE-GGA) of PmNdHgAu after structural relaxation.

Structure (POSCAR):
```
PmNdHgAu
1.0
3.7651 0.0000 0.0000
0.0000 3.7651 0.0000
0.0000 0.0000 7.5332
Pm Au Hg Nd
1 1 1 1
Cartesian
1.8826 1.8826 0.8978 Pm
0.0000 0.0000 2.6550 Au
0.0000 0.0000 6.4794 Hg
1.8826 1.8826 4.4915 Nd
```

Computed properties:
- total magnetization (μB per atom) = 0.000

Version x
The following is a DFT calculation (PBE-GGA) of PmNdHgAu after structural relaxation.

Structure (POSCAR):
```
PmNdHgAu
1.0
-4.0606 2.5376 -2.3225
-4.9682 -1.8052 0.6165
-3.4752 2.7318 2.9634
Au Hg Nd Pm
1 1 1 1
Cartesian
0.0000 0.0000 0.0000 Au
-6.2520 1.7321 0.6287 Hg
-3.1260 0.8660 0.3143 Nd
-9.3779 2.5981 0.9430 Pm
```

Computed properties:
- total magnetization (μB per atom) = 0.000

Name the most stable of them. version w.

Version w
The following is a DFT calculation (PBE-GGA) of SrNdHgAu after structural relaxation.

Structure (POSCAR):
```
SrNdHgAu
1.0
5.4214 0.0000 0.0000
2.7107 4.6950 0.0000
2.7107 1.5650 4.4265
Hg Sr Nd Au
1 1 1 1
Cartesian
5.4214 3.1300 2.2133 Hg
2.7107 1.5650 1.1066 Sr
8.1321 4.6950 3.3199 Nd
0.0000 0.0000 0.0000 Au
```

Computed properties:
- total magnetization (μB per atom) = 0.000

Version x
The following is a DFT calculation (PBE-GGA) of SrNdHgAu after structural relaxation.

Structure (POSCAR):
```
SrNdHgAu
1.0
3.8395 0.0000 0.0000
0.0000 3.8395 0.0000
0.0000 0.0000 7.7629
Sr Nd Au Hg
1 1 1 1
Cartesian
0.0000 0.0000 2.8289 Sr
0.0000 0.0000 6.5245 Nd
1.9197 1.9197 4.9379 Au
1.9197 1.9197 0.6753 Hg
```

Computed properties:
- total magnetization (μB per atom) = 0.000

Name the most stable of them. version x.

Version w
The following is a DFT calculation (PBE-GGA) of NdThHgAu after structural relaxation.

Structure (POSCAR):
```
NdThHgAu
1.0
3.7476 0.0000 0.0000
0.0000 3.7476 0.0000
0.0000 0.0000 7.6568
Au Hg Nd Th
1 1 1 1
Cartesian
0.0000 0.0000 2.7295 Au
0.0000 0.0000 6.5478 Hg
1.8738 1.8738 4.5705 Nd
1.8738 1.8738 0.9144 Th
```

Computed properties:
- total magnetization (μB per atom) = 0.000

Version x
The following is a DFT calculation (PBE-GGA) of NdThHgAu after structural relaxation.

Structure (POSCAR):
```
NdThHgAu
1.0
5.3345 0.0000 0.0000
2.6672 4.6198 0.0000
2.6672 1.5399 4.3556
Th Nd Au Hg
1 1 1 1
Cartesian
2.6672 1.5399 1.0889 Th
8.0017 4.6198 3.2667 Nd
5.3345 3.0799 2.1778 Au
0.0000 0.0000 0.0000 Hg
```

Computed properties:
- total magnetization (μB per atom) = 0.084

Name the most stable of them. version w.

Version w
The following is a DFT calculation (PBE-GGA) of NdTmHgAu after structural relaxation.

Structure (POSCAR):
```
NdTmHgAu
1.0
-3.2280 1.0573 -1.3849
-1.2044 -3.4609 0.1650
-2.5737 1.2264 6.9351
Au Nd Tm Hg
1 1 1 1
Cartesian
-0.9933 0.4733 2.6767 Au
-2.5102 -1.0617 0.1822 Nd
-3.7381 -0.4766 3.4909 Tm
-2.1528 1.0258 5.8010 Hg
```

Computed properties:
- total magnetization (μB per atom) = 0.045

Version x
The following is a DFT calculation (PBE-GGA) of NdTmHgAu after structural relaxation.

Structure (POSCAR):
```
NdTmHgAu
1.0
-3.1153 -3.7806 1.8370
-0.6194 -4.4290 -2.7152
2.0711 -4.4659 1.7717
Nd Tm Hg Au
1 1 1 1
Cartesian
-0.4159 -3.1689 0.2234 Nd
-1.2477 -9.5066 0.6701 Tm
-0.8318 -6.3378 0.4467 Hg
0.0000 0.0000 0.0000 Au
```

Computed properties:
- total magnetization (μB per atom) = 0.000

Name the most stable of them. version w.